# Tl4GaSe6 (PBE-GGA, optimized geometry)
data_Tl4GaSe6
_cell_length_a 8.658
_cell_length_b 7.890
_cell_length_c 13.631
_cell_angle_alpha 71.72
_cell_angle_beta 71.48
_cell_angle_gamma 56.73
_symmetry_space_group_name_H-M 'P 1'
_symmetry_Int_Tables_number 1
_symmetry_space_group_name_Hall 'P 1'
loop_
_atom_site_label
_atom_site_type_symbol
_atom_site_fract_x
_atom_site_fract_y
_atom_site_fract_z
Se1 Se 0.944 0.570 0.458
Se2 Se 0.447 0.140 0.442
Se3 Se 0.977 0.140 0.281
Se4 Se 0.876 0.026 0.625
Se5 Se 0.473 0.526 0.125
Se6 Se 0.472 0.632 0.470
Se7 Se 0.242 0.349 0.698
Tl1 Tl 0.242 0.683 0.333
Tl2 Tl 0.268 0.962 0.656
Se8 Se 0.029 0.070 0.958
Ga1 Ga 0.149 0.310 0.886
Se9 Se 0.426 0.132 0.970
Se10 Se 0.711 0.849 0.198
Ga2 Ga 0.655 0.810 0.386
Tl3 Tl 0.115 0.462 0.156
Se11 Se 0.602 0.640 0.781
Tl4 Tl 0.743 0.183 0.833
Tl5 Tl 0.908 0.652 0.648
Tl6 Tl 0.620 0.722 0.958
Tl7 Tl 0.792 0.152 0.148
Tl8 Tl 0.700 0.222 0.458
Se12 Se 0.972 0.640 0.942
# * DOS(E_F): 8.6 states/eV/cell
# * mass density: 6.2 Mg/m³
# * crystal system: monoclinic
# * final energy: -36.8 eV per formula unit
# * raw formation energy: -0.307 eV/atom

---

# Tl3GaSe4 (PBE-GGA, optimized geometry)
data_Tl3GaSe4
_cell_length_a 6.770
_cell_length_b 6.826
_cell_length_c 10.903
_cell_angle_alpha 90.00
_cell_angle_beta 90.00
_cell_angle_gamma 90.00
_symmetry_space_group_name_H-M 'P 1'
_symmetry_Int_Tables_number 1
_symmetry_space_group_name_Hall 'P 1'
loop_
_atom_site_label
_atom_site_type_symbol
_atom_site_fract_x
_atom_site_fract_y
_atom_site_fract_z
Se1 Se 0.104 0.305 0.201
Se2 Se 0.067 0.838 0.000
Tl1 Tl 0.031 0.722 0.751
Se3 Se 0.635 0.239 0.000
Tl2 Tl 0.531 0.278 0.749
Se4 Se 0.104 0.305 0.799
Ga1 Ga 0.497 0.807 0.500
Ga2 Ga 0.997 0.193 0.000
Se5 Se 0.604 0.695 0.701
Tl3 Tl 0.547 0.767 0.000
Se6 Se 0.135 0.761 0.500
Se7 Se 0.604 0.695 0.299
Se8 Se 0.567 0.162 0.500
Tl4 Tl 0.047 0.233 0.500
Tl5 Tl 0.031 0.722 0.249
Tl6 Tl 0.531 0.278 0.251
# * DOS(E_F): 0.1 states/eV/cell
# * mass density: 6.6 Mg/m³
# * crystal system: orthorhombic
# * final energy: -27.2 eV per formula unit
# * raw formation energy: -0.392 eV/atom

---

# TlGa2Se (PBE-GGA, optimized geometry)
data_TlGa2Se
_cell_length_a 5.169
_cell_length_b 5.169
_cell_length_c 5.169
_cell_angle_alpha 60.00
_cell_angle_beta 60.00
_cell_angle_gamma 60.00
_symmetry_space_group_name_H-M 'P 1'
_symmetry_Int_Tables_number 1
_symmetry_space_group_name_Hall 'P 1'
loop_
_atom_site_label
_atom_site_type_symbol
_atom_site_fract_x
_atom_site_fract_y
_atom_site_fract_z
Ga1 Ga 0.750 0.750 0.750
Ga2 Ga 0.250 0.250 0.250
Tl1 Tl 0.500 0.500 0.500
Se1 Se 0.000 0.000 0.000
# * DOS(E_F): 3.0 states/eV/cell
# * relative energy among the computed polymorphs: 178 meV per atom
# * mass density: 7.2 Mg/m³
# * crystal system: cubic
# * final energy: -11.7 eV per formula unit
# * raw formation energy: 0.051 eV/atom

---

# Tl12Ga3Se5 (PBE-GGA, optimized geometry)
data_Tl12Ga3Se5
_cell_length_a 15.361
_cell_length_b 15.361
_cell_length_c 15.361
_cell_angle_alpha 109.47
_cell_angle_beta 109.47
_cell_angle_gamma 109.47
_symmetry_space_group_name_H-M 'P 1'
_symmetry_Int_Tables_number 1
_symmetry_space_group_name_Hall 'P 1'
loop_
_atom_site_label
_atom_site_type_symbol
_atom_site_fract_x
_atom_site_fract_y
_atom_site_fract_z
Tl1 Tl 0.095 0.172 0.230
Tl2 Tl 0.635 0.577 0.905
Se1 Se 0.000 0.500 0.500
Se2 Se 0.500 0.000 0.000
Tl3 Tl 0.328 0.558 0.423
Se3 Se 0.250 0.375 0.625
Se4 Se 0.000 0.000 0.000
Tl4 Tl 0.770 0.328 0.905
Tl5 Tl 0.135 0.730 0.558
Tl6 Tl 0.270 0.405 0.828
Tl7 Tl 0.730 0.595 0.172
Tl8 Tl 0.058 0.635 0.730
Se5 Se 0.500 0.000 0.500
Tl9 Tl 0.058 0.423 0.828
Se6 Se 0.500 0.500 0.000
Se7 Se 0.750 0.125 0.875
Ga1 Ga 0.750 0.875 0.625
Tl10 Tl 0.328 0.770 0.405
Se8 Se 0.625 0.875 0.250
Tl11 Tl 0.595 0.730 0.672
Tl12 Tl 0.405 0.135 0.577
Tl13 Tl 0.672 0.442 0.577
Tl14 Tl 0.865 0.270 0.442
Se9 Se 0.125 0.375 0.250
Ga2 Ga 0.375 0.750 0.625
Tl15 Tl 0.095 0.923 0.365
Tl16 Tl 0.905 0.077 0.635
Ga3 Ga 0.625 0.375 0.750
Tl17 Tl 0.672 0.230 0.595
Tl18 Tl 0.905 0.828 0.770
Tl19 Tl 0.577 0.635 0.405
Se10 Se 0.875 0.250 0.625
Tl20 Tl 0.577 0.942 0.672
Tl21 Tl 0.270 0.865 0.942
Se11 Se 0.875 0.625 0.750
Se12 Se 0.625 0.750 0.875
Tl22 Tl 0.828 0.905 0.270
Se13 Se 0.750 0.625 0.375
Tl23 Tl 0.923 0.095 0.865
Se14 Se 0.000 0.500 0.000
Se15 Se 0.500 0.500 0.500
Ga4 Ga 0.750 0.375 0.125
Tl24 Tl 0.365 0.423 0.095
Tl25 Tl 0.442 0.770 0.865
Tl26 Tl 0.595 0.865 0.423
Se16 Se 0.250 0.875 0.125
Tl27 Tl 0.865 0.595 0.923
Ga5 Ga 0.875 0.125 0.250
Tl28 Tl 0.942 0.365 0.270
Tl29 Tl 0.172 0.077 0.942
Tl30 Tl 0.135 0.405 0.077
Tl31 Tl 0.405 0.270 0.328
Tl32 Tl 0.923 0.828 0.558
Ga6 Ga 0.125 0.875 0.750
Tl33 Tl 0.558 0.230 0.135
Tl34 Tl 0.230 0.558 0.635
Se17 Se 0.375 0.125 0.750
Tl35 Tl 0.828 0.923 0.058
Ga7 Ga 0.875 0.750 0.125
Tl36 Tl 0.423 0.365 0.595
Ga8 Ga 0.125 0.250 0.875
Se18 Se 0.000 0.000 0.500
Tl37 Tl 0.730 0.135 0.058
Tl38 Tl 0.077 0.172 0.442
Se19 Se 0.375 0.250 0.125
Se20 Se 0.125 0.750 0.375
Tl39 Tl 0.365 0.942 0.770
Ga9 Ga 0.250 0.625 0.875
Ga10 Ga 0.250 0.125 0.375
Ga11 Ga 0.375 0.625 0.250
Tl40 Tl 0.077 0.905 0.135
Tl41 Tl 0.635 0.058 0.230
Tl42 Tl 0.558 0.328 0.923
Tl43 Tl 0.172 0.095 0.730
Ga12 Ga 0.625 0.250 0.375
Tl44 Tl 0.230 0.672 0.095
Tl45 Tl 0.942 0.577 0.172
Tl46 Tl 0.442 0.672 0.077
Tl47 Tl 0.770 0.442 0.365
Tl48 Tl 0.423 0.058 0.328
# * DOS(E_F): 41.3 states/eV/cell
# * mass density: 7.3 Mg/m³
# * crystal system: cubic
# * final energy: -56.1 eV per formula unit
# * raw formation energy: -0.061 eV/atom

---

# Tl3GaSe (PBE-GGA, optimized geometry)
data_Tl3GaSe
_cell_length_a 5.424
_cell_length_b 5.424
_cell_length_c 5.424
_cell_angle_alpha 90.00
_cell_angle_beta 90.00
_cell_angle_gamma 90.00
_symmetry_space_group_name_H-M 'P 1'
_symmetry_Int_Tables_number 1
_symmetry_space_group_name_Hall 'P 1'
loop_
_atom_site_label
_atom_site_type_symbol
_atom_site_fract_x
_atom_site_fract_y
_atom_site_fract_z
Ga1 Ga 0.000 0.000 0.000
Tl1 Tl 0.000 0.500 0.000
Se1 Se 0.500 0.500 0.500
Tl2 Tl 0.000 0.000 0.500
Tl3 Tl 0.500 0.000 0.000
# * DOS(E_F): 1.2 states/eV/cell
# * relative energy among the computed polymorphs: 0 meV per atom
# * mass density: 7.9 Mg/m³
# * crystal system: cubic
# * final energy: -13.1 eV per formula unit
# * raw formation energy: 0.112 eV/atom

---

# Tl3Ga2Se4 (PBE-GGA, optimized geometry)
data_Tl3Ga2Se4
_cell_length_a 6.573
_cell_length_b 9.436
_cell_length_c 9.436
_cell_angle_alpha 69.32
_cell_angle_beta 96.97
_cell_angle_gamma 96.97
_symmetry_space_group_name_H-M 'P 1'
_symmetry_Int_Tables_number 1
_symmetry_space_group_name_Hall 'P 1'
loop_
_atom_site_label
_atom_site_type_symbol
_atom_site_fract_x
_atom_site_fract_y
_atom_site_fract_z
Se1 Se 0.559 0.389 0.203
Ga1 Ga 0.580 0.843 0.611
Tl1 Tl 0.960 0.931 0.248
Se2 Se 0.441 0.611 0.797
Ga2 Ga 0.080 0.611 0.843
Tl2 Tl 0.460 0.248 0.931
Tl3 Tl 0.750 0.471 0.529
Se3 Se 0.059 0.203 0.389
Ga3 Ga 0.920 0.389 0.157
Se4 Se 0.049 0.661 0.080
Tl4 Tl 0.540 0.752 0.069
Se5 Se 0.451 0.920 0.339
Tl5 Tl 0.040 0.069 0.752
Se6 Se 0.941 0.797 0.611
Ga4 Ga 0.420 0.157 0.389
Se7 Se 0.951 0.339 0.920
Tl6 Tl 0.250 0.529 0.471
Se8 Se 0.549 0.080 0.661
# * DOS(E_F): 5.2 states/eV/cell
# * mass density: 6.6 Mg/m³
# * crystal system: monoclinic
# * final energy: -31.2 eV per formula unit
# * raw formation energy: -0.455 eV/atom

---

# TlGaSe2 (PBE-GGA, optimized geometry)
data_TlGaSe2
_cell_length_a 3.961
_cell_length_b 7.370
_cell_length_c 8.779
_cell_angle_alpha 112.58
_cell_angle_beta 103.04
_cell_angle_gamma 90.01
_symmetry_space_group_name_H-M 'P 1'
_symmetry_Int_Tables_number 1
_symmetry_space_group_name_Hall 'P 1'
loop_
_atom_site_label
_atom_site_type_symbol
_atom_site_fract_x
_atom_site_fract_y
_atom_site_fract_z
Se1 Se 0.024 0.479 0.623
Ga1 Ga 0.230 0.178 0.033
Se2 Se 0.336 0.031 0.247
Ga2 Ga 0.432 0.381 0.438
Se3 Se 0.637 0.079 0.848
Tl1 Tl 0.702 0.682 0.979
Se4 Se 0.324 0.529 0.224
Tl2 Tl 0.958 0.879 0.491
# * relative energy among the computed polymorphs: 50 meV per atom
# * mass density: 6.3 Mg/m³
# * crystal system: monoclinic
# * final energy: -14.5 eV per formula unit
# * raw formation energy: -0.537 eV/atom

---

# TlGa2Se2 (PBE-GGA, optimized geometry)
data_TlGa2Se2
_cell_length_a 5.171
_cell_length_b 5.171
_cell_length_c 5.818
_cell_angle_alpha 63.61
_cell_angle_beta 63.61
_cell_angle_gamma 90.00
_symmetry_space_group_name_H-M 'P 1'
_symmetry_Int_Tables_number 1
_symmetry_space_group_name_Hall 'P 1'
loop_
_atom_site_label
_atom_site_type_symbol
_atom_site_fract_x
_atom_site_fract_y
_atom_site_fract_z
Se1 Se 0.750 0.250 0.500
Ga1 Ga 0.647 0.647 0.707
Ga2 Ga 0.353 0.353 0.293
Se2 Se 0.250 0.750 0.500
Tl1 Tl 0.000 0.000 0.000
# * DOS(E_F): 0.9 states/eV/cell
# * relative energy among the computed polymorphs: 0 meV per atom
# * mass density: 6.9 Mg/m³
# * crystal system: tetragonal
# * final energy: -17.0 eV per formula unit
# * raw formation energy: -0.321 eV/atom